(1)
Pu5HfRu6 | Alexandria | PBE-GGA | optimized geometry; density = 14.7 Mg/m³; calculated formation energy = -1.58 eV per formula unit
1.0
4.6566 0.0000 0.0000
0.0000 6.9175 0.0000
-2.2981 0.0000 7.0435
Pu Hf Ru
5 1 6
Direct
0.0000 0.0000 0.0000 Pu
0.3347 0.5000 0.6659 Pu
0.3358 0.0000 0.6689 Pu
0.6642 0.0000 0.3311 Pu
0.6653 0.5000 0.3341 Pu
0.0000 0.5000 0.0000 Hf
0.1587 0.2544 0.3222 Ru
0.1587 0.7456 0.3222 Ru
0.5000 0.2673 0.0000 Ru
0.5000 0.7327 0.0000 Ru
0.8413 0.2544 0.6778 Ru
0.8413 0.7456 0.6778 Ru

---

(2)
Zr2PW | Alexandria | PBE-GGA | optimized geometry; density = 9.0 Mg/m³; calculated formation energy = -0.53 eV per formula unit
1.0
4.4681 -1.7834 0.0000
4.4681 1.7834 0.0000
-1.6027 0.0000 4.5777
Zr P W
2 1 1
Direct
0.2368 0.2368 0.2284 Zr
0.7632 0.7632 0.7716 Zr
0.5000 0.5000 0.0000 P
0.0000 0.0000 0.5000 W

---

(3)
Hg3Se5 | Alexandria | PBE-GGA | optimized geometry; density = 5.9 Mg/m³; offset from the most stable computed form = 0.0 meV per atom; formation energy (no corrections) = 0.05 eV/atom
1.0
3.2177 -8.3814 0.0000
3.2177 8.3814 0.0000
-0.4187 0.0000 10.3638
Hg Se
6 10
Direct
0.0000 0.0000 0.0000 Hg
0.0119 0.0119 0.6592 Hg
0.3657 0.8830 0.5755 Hg
0.6917 0.9369 0.2957 Hg
0.8830 0.3657 0.5755 Hg
0.9369 0.6917 0.2957 Hg
0.1430 0.5994 0.0125 Se
0.1540 0.6077 0.2292 Se
0.1744 0.3132 0.4255 Se
0.2790 0.2790 0.8430 Se
0.3132 0.1744 0.4255 Se
0.5873 0.7305 0.5379 Se
0.5994 0.1430 0.0125 Se
0.6077 0.1540 0.2292 Se
0.6970 0.6970 0.1440 Se
0.7305 0.5873 0.5379 Se

---

(4)
Ce2SmDy6Ho3 | Alexandria | PBE-GGA | optimized geometry; density = 8.4 Mg/m³; calculated formation energy = 0.59 eV per formula unit
1.0
3.0647 -5.3080 0.0000
3.0647 5.3080 0.0000
-2.0442 0.0000 11.5497
Ce Sm Dy Ho
2 1 6 3
Direct
0.1667 0.8333 0.0000 Ce
0.8333 0.1667 0.0000 Ce
0.5000 0.5000 0.0000 Sm
0.0800 0.4158 0.7496 Dy
0.2483 0.2483 0.2504 Dy
0.4158 0.0800 0.7496 Dy
0.5842 0.9200 0.2504 Dy
0.7517 0.7517 0.7496 Dy
0.9200 0.5842 0.2504 Dy
0.0000 0.0000 0.5000 Ho
0.3337 0.6663 0.5000 Ho
0.6663 0.3337 0.5000 Ho

---

(5)
Pr2ScNbO7 | Alexandria | PBE-GGA | optimized geometry; density = 5.8 Mg/m³; formation energy (no corrections) = -3.20 eV/atom
1.0
-3.7515 3.8147 5.3463
3.7515 -3.8147 5.3463
3.7515 3.8147 -5.3463
Pr Sc Nb O
4 2 2 14
Direct
0.0000 0.0000 0.0000 Pr
0.5000 0.0000 0.0000 Pr
0.5000 0.0000 0.5000 Pr
0.5000 0.5000 0.5000 Pr
0.0000 0.0000 0.5000 Sc
0.0000 0.5000 0.0000 Sc
0.0000 0.5000 0.5000 Nb
0.5000 0.5000 0.0000 Nb
0.0885 0.4273 0.2668 O
0.0885 0.8217 0.6612 O
0.0918 0.8418 0.2500 O
0.3183 0.5683 0.7500 O
0.3396 0.1783 0.7668 O
0.3396 0.5727 0.1612 O
0.3771 0.1271 0.2500 O
0.6229 0.8729 0.7500 O
0.6604 0.4273 0.8388 O
0.6604 0.8217 0.2332 O
0.6817 0.4317 0.2500 O
0.9082 0.1582 0.7500 O
0.9115 0.1783 0.3388 O
0.9115 0.5727 0.7332 O

---

(6)
ScRe2Br | Alexandria | PBE-GGA | optimized geometry; density = 10.9 Mg/m³; offset from the most stable computed form = 1170.8 meV per atom; formation energy (no corrections) = 1.09 eV/atom
1.0
-3.9160 3.9160 2.4737
3.9160 -3.9160 2.4737
3.9160 3.9160 -2.4737
Sc Re Br
2 4 2
Direct
0.0000 0.0000 0.0000 Sc
0.7500 0.2500 0.5000 Sc
0.1815 0.1250 0.5565 Re
0.3750 0.8185 0.9435 Re
0.5685 0.6250 0.4435 Re
0.8750 0.4315 0.0565 Re
0.2500 0.7500 0.5000 Br
0.5000 0.5000 0.0000 Br